Computed, not measured: crystalline VSbI2F at its relaxed geometry at the PBE with a Hubbard U level of DFT.

Geometry as extended XYZ:
```
5
Lattice="5.9570 0.0000 0.0000 0.0000 5.9570 0.0000 0.0000 0.0000 4.2141" Properties=species:S:1:pos:R:3 pbc="T T T"
I 0.0000 2.9785 0.0000
I 2.9785 0.0000 0.0000
Sb 0.0000 0.0000 2.1070
F 0.0000 0.0000 0.0000
V 2.9785 2.9785 2.1070
```

- excess energy over the best structure of this formula in the dataset (kcal/mol of atoms) = 0.00


Computed, not measured: crystalline VSbI2F at its relaxed geometry at the PBE with a Hubbard U level of DFT.

Geometry as extended XYZ:
```
5
Lattice="5.4531 0.0000 0.0000 0.0000 5.4531 0.0000 0.0000 0.0000 5.3766" Properties=species:S:1:pos:R:3 pbc="T T T"
I 2.7266 0.0000 0.0000
I 0.0000 2.7266 0.0000
F 2.7266 2.7266 2.6883
V 0.0000 0.0000 0.0000
Sb 0.0000 0.0000 2.6883
```

- excess energy over the best structure of this formula in the dataset (kcal/mol of atoms) = 1.36